w) This record from the Alexandria database describes an optimized crystal structure of Ca2RhW. The functional is PBEsol.

Space-group type = P4mm, No. 99

Lattice parameters (Å, degrees): 3.1666 3.1685 9.6544 90.00 109.14 90.00
Fractional positions:
Ca: 0.9385 0.0000 0.9389
Ca: 0.8195 0.5000 0.3190
Rh: 0.5515 0.0000 0.5515
W: 0.1904 0.5000 0.6906

---

x) This record from the Alexandria database describes an optimized crystal structure of Ca2RhW. The functional is PBEsol.

Space-group type = Cm, No. 8

Lattice parameters (Å, degrees): 3.1760 5.1483 6.0443 115.13 105.23 90.00
Fractional positions:
Ca: 0.0105 0.0107 0.0210
Ca: 0.2188 0.7186 0.4375
Rh: 0.4755 0.4757 0.9509
W: 0.7953 0.2950 0.5906

---

y) This record from the Alexandria database describes an optimized crystal structure of Ca2RhW. The functional is PBEsol.

Space-group type = P4/mmm, No. 123

Lattice parameters (Å, degrees): 3.9890 3.9890 4.7999 90.00 90.00 90.00
Fractional positions:
Ca: 0.0000 0.5000 0.0000
Ca: 0.5000 0.0000 0.0000
Rh: 0.5000 0.5000 0.5000
W: 0.0000 0.0000 0.5000

---

Most stable structure: w)